[1]
# Th3Al7Pd2 (GGA-PBE, optimized geometry)
data_Th3Al7Pd2
_chemical_formula_sum 'Th9 Al21 Pd6'
_space_group_name_H-M_alt 'R -3 m'
_space_group_IT_number 166
_space_group_name_Hall '-R 3 2"'
_cell_length_a 5.6453
_cell_length_b 5.6453
_cell_length_c 26.1193
_cell_angle_alpha 90.00
_cell_angle_beta 90.00
_cell_angle_gamma 120.00
loop_
_atom_site_label
_atom_site_type_symbol
_atom_site_fract_x
_atom_site_fract_y
_atom_site_fract_z
Th1 Th 0.0000 0.0000 0.0000
Th2 Th 0.0000 0.0000 0.1416
Al1 Al 0.0000 0.0000 0.5000
Al2 Al 0.0081 0.5040 0.9210
Pd1 Pd 0.0000 0.0000 0.3363
# - Calculated formation energy: -0.654 eV per atom
# - Magnetization: 0.0 μB/f.u.

***

[2]
# Tb8PmTh4 (GGA-PBE, optimized geometry)
data_Tb8PmTh4
_chemical_formula_sum 'Tb24 Pm3 Th12'
_space_group_name_H-M_alt 'R -3 m'
_space_group_IT_number 166
_space_group_name_Hall '-R 3 2"'
_cell_length_a 7.3988
_cell_length_b 7.3988
_cell_length_c 26.8124
_cell_angle_alpha 90.00
_cell_angle_beta 90.00
_cell_angle_gamma 120.00
loop_
_atom_site_label
_atom_site_type_symbol
_atom_site_fract_x
_atom_site_fract_y
_atom_site_fract_z
Tb1 Tb 0.0000 0.0000 0.2216
Tb2 Tb 0.0399 0.5200 0.7698
Pm1 Pm 0.0000 0.0000 0.5000
Th1 Th 0.0000 0.0000 0.0000
Th2 Th 0.0000 0.5000 0.0000
# - Calculated formation energy: 0.210 eV per atom
# - Magnetization: 0.0 μB/f.u.

***

[3]
# Pa3Si2Ru2 (GGA-PBE, optimized geometry)
data_Pa3Si2Ru2
_chemical_formula_sum 'Pa12 Si8 Ru8'
_space_group_name_H-M_alt 'P b c m'
_space_group_IT_number 57
_cell_length_a 5.498
_cell_length_b 7.690
_cell_length_c 12.934
_cell_angle_alpha 90.00
_cell_angle_beta 90.00
_cell_angle_gamma 90.00
loop_
_space_group_symop_operation_xyz
'x,y,z'
'-x,-y,-z'
'-x,-y,z+1/2'
'x,y,-z+1/2'
'x,-y+1/2,-z'
'-x,y+1/2,z'
'-x,y+1/2,-z+1/2'
'x,-y+1/2,z+1/2'
loop_
_atom_site_label
_atom_site_type_symbol
_atom_site_fract_x
_atom_site_fract_y
_atom_site_fract_z
Pa1 Pa 0.134 0.242 0.250
Pa2 Pa 0.343 0.604 0.102
Si1 Si 0.180 0.250 0.000
Si2 Si 0.377 0.607 0.750
Ru1 Ru 0.126 0.543 0.593
# - Magnetization: 0.0 μB/f.u.
# - Total DFT energy (no corrections): -249.63 eV per cell

***

[4]
# Ca2ZnGeAu6 (GGA-PBE, optimized geometry)
data_Ca2ZnGeAu6
_chemical_formula_sum 'Ca8 Zn4 Ge4 Au24'
_space_group_name_H-M_alt 'F m -3 m'
_space_group_IT_number 225
_space_group_name_Hall '-F 4 2 3'
_cell_length_a 9.850
_cell_length_b 9.850
_cell_length_c 9.850
_cell_angle_alpha 90.00
_cell_angle_beta 90.00
_cell_angle_gamma 90.00
loop_
_atom_site_label
_atom_site_type_symbol
_atom_site_fract_x
_atom_site_fract_y
_atom_site_fract_z
Ca1 Ca 0.250 0.250 0.250
Zn1 Zn 0.000 0.000 0.000
Ge1 Ge 0.000 0.000 0.500
Au1 Au 0.000 0.000 0.249
# - Calculated formation energy: -0.262 eV per atom
# - Magnetization: 0.0 μB/f.u.